No. 1
# GdHfNiPd | the Alexandria database | PBE | optimized geometry
# - total DFT energy (no corrections) (eV/atom) = -9.1941
# - calculated formation energy (eV/atom) = -0.4420
data_GdHfNiPd
_chemical_formula_sum 'Gd1 Hf1 Ni1 Pd1'
_cell_length_a 4.7645
_cell_length_b 4.7645
_cell_length_c 4.7645
_cell_angle_alpha 60.00
_cell_angle_beta 60.00
_cell_angle_gamma 60.00
_symmetry_space_group_name_H-M 'P 1'
_symmetry_Int_Tables_number 1
_symmetry_space_group_name_Hall 'P 1'
loop_
_atom_site_label
_atom_site_type_symbol
_atom_site_fract_x
_atom_site_fract_y
_atom_site_fract_z
Pd1 Pd 0.0000 0.0000 0.0000
Hf1 Hf 0.2500 0.2500 0.2500
Ni1 Ni 0.5000 0.5000 0.5000
Gd1 Gd 0.7500 0.7500 0.7500

=====

No. 2
# ZnTcNi | the Alexandria database | PBE | optimized geometry
# - total DFT energy (no corrections) (eV/atom) = -5.0979
# - calculated formation energy (eV/atom) = 0.7091
# - excess energy over the best structure of this formula in the dataset (eV per atom) = 0.742
data_ZnTcNi
_chemical_formula_sum 'Zn1 Tc1 Ni1'
_cell_length_a 4.0798
_cell_length_b 4.0798
_cell_length_c 4.0798
_cell_angle_alpha 60.00
_cell_angle_beta 60.00
_cell_angle_gamma 60.00
_symmetry_space_group_name_H-M 'P 1'
_symmetry_Int_Tables_number 1
_symmetry_space_group_name_Hall 'P 1'
loop_
_atom_site_label
_atom_site_type_symbol
_atom_site_fract_x
_atom_site_fract_y
_atom_site_fract_z
Zn1 Zn 0.0000 0.0000 0.0000
Tc1 Tc 0.7500 0.7500 0.7500
Ni1 Ni 0.5000 0.5000 0.5000

=====

No. 3
# CsNpTeO5 | the Alexandria database | PBE | optimized geometry
# - total DFT energy (no corrections) (eV/atom) = -7.1841
# - energy relative to the elements, uncorrected (eV/f.u.) = -15.7
data_CsNpTeO5
_chemical_formula_sum 'Cs2 Np2 Te2 O10'
_cell_length_a 6.7100
_cell_length_b 6.7100
_cell_length_c 8.2457
_cell_angle_alpha 91.76
_cell_angle_beta 91.76
_cell_angle_gamma 115.62
_symmetry_space_group_name_H-M 'P 1'
_symmetry_Int_Tables_number 1
_symmetry_space_group_name_Hall 'P 1'
loop_
_atom_site_label
_atom_site_type_symbol
_atom_site_fract_x
_atom_site_fract_y
_atom_site_fract_z
Cs1 Cs 0.3468 0.6532 0.2500
Cs2 Cs 0.6532 0.3468 0.7500
O1 O 0.2433 0.2746 0.5058
O2 O 0.9532 0.0468 0.7500
O3 O 0.2308 0.8361 0.5766
O4 O 0.7692 0.1639 0.4234
O5 O 0.0468 0.9532 0.2500
O6 O 0.2746 0.2433 0.0058
O7 O 0.1639 0.7692 0.9234
O8 O 0.7254 0.7567 0.9942
O9 O 0.7567 0.7254 0.4942
O10 O 0.8361 0.2308 0.0766
Te1 Te 0.3031 0.6969 0.7500
Te2 Te 0.6969 0.3031 0.2500
Np1 Np 0.0000 0.0000 0.5000
Np2 Np 0.0000 0.0000 0.0000

=====

No. 4
# Co2CuB | the Alexandria database | PBE | optimized geometry
# - total DFT energy (no corrections) (eV/atom) = -6.2729
# - calculated formation energy (eV/atom) = -0.0266
data_Co2CuB
_chemical_formula_sum 'Co2 Cu1 B1'
_cell_length_a 2.4920
_cell_length_b 2.4920
_cell_length_c 6.1152
_cell_angle_alpha 90.00
_cell_angle_beta 90.00
_cell_angle_gamma 90.00
_symmetry_space_group_name_H-M 'P 1'
_symmetry_Int_Tables_number 1
_symmetry_space_group_name_Hall 'P 1'
loop_
_atom_site_label
_atom_site_type_symbol
_atom_site_fract_x
_atom_site_fract_y
_atom_site_fract_z
Co1 Co 0.0000 0.0000 0.1945
Co2 Co 0.0000 0.0000 0.8055
Cu1 Cu 0.5000 0.5000 0.5000
B1 B 0.5000 0.5000 0.0000

=====

> What is the total DFT energy (no corrections) in the fourth record?

-6.2729 eV/atom

=====

> Which value of total DFT energy (no corrections) does entry 2 give?

-5.0979 eV/atom